Computed, not measured: YCrTc2 after structural relaxation at the PBE level of DFT.

Formation energy from the elements, meV per atom: 300.5
Energy relative to the lowest polymorph listed for this composition, meV per atom: 124
N(E_F), states/eV per atom: 0.809
Crystal system: cubic
Final energy, eV/atom: -8.904

a b c (Å): 4.4991 4.4991 4.4991
angles (deg): 60.00 60.00 60.00
With the nearest neighbours (Å) after each atom.
Fractional positions:
Y1 0.0000 0.0000 0.0000  8 Tc 2.76
Cr1 0.5000 0.5000 0.5000  8 Tc 2.76
Tc1 0.2500 0.2500 0.2500  4 Cr 2.76, 4 Y 2.76
Tc2 0.7500 0.7500 0.7500  4 Cr 2.76, 4 Y 2.76

***

Computed, not measured: LaMg3Br after structural relaxation at the PBE level of DFT.

N(E_F), states/eV per atom: 1.285
Uncorrected formation energy, eV per formula unit: 0.85
Crystal system: cubic
Final energy, eV/atom: -2.106

a b c (Å): 5.4556 5.4556 5.4556
angles (deg): 90.00 90.00 90.00
With the nearest neighbours (Å) after each atom.
Fractional positions:
La1 0.0000 0.0000 0.0000  12 Mg 3.86
Mg1 0.0000 0.5000 0.5000  2 Br 2.73
Mg2 0.5000 0.0000 0.5000  2 Br 2.73
Mg3 0.5000 0.5000 0.0000  2 Br 2.73
Br1 0.5000 0.5000 0.5000  6 Mg 2.73

***

Computed, not measured: Dy2Ho3Tl7 after structural relaxation at the PBE level of DFT.

Formation energy from the elements, meV per atom: -75.0
N(E_F), states/eV per atom: 0.829
Crystal system: orthorhombic
Final energy, eV/atom: -3.367

a b c (Å): 13.0852 13.0852 5.3784
angles (deg): 90.00 90.00 156.80
With the nearest neighbours (Å) after each atom.
Fractional positions:
Dy1 0.1524 0.8476 0.0000  7 Tl 3.15-3.29
Dy2 0.8476 0.1524 0.0000  7 Tl 3.15-3.29
Ho1 0.3484 0.6516 0.5000  6 Tl 3.19-3.32
Ho2 0.5000 0.5000 0.5000  8 Tl 3.31-3.36
Ho3 0.6516 0.3484 0.5000  6 Tl 3.19-3.32
Tl1 0.0000 0.0000 0.0000  8 Tl 3.26-3.40
Tl2 0.0813 0.9187 0.5000  4 Ho 3.19-3.36, 2 Dy 3.25, 2 Tl 3.40
Tl3 0.2797 0.7203 0.0000  2 Tl 3.04, 3 Dy 3.15-3.26, 2 Ho 3.21
Tl4 0.4246 0.5754 0.0000  2 Tl 3.26, 2 Dy 3.29, 4 Ho 3.31-3.32
Tl5 0.5754 0.4246 0.0000  2 Tl 3.26, 2 Dy 3.29, 4 Ho 3.31-3.32
Tl6 0.7203 0.2797 0.0000  2 Tl 3.04, 3 Dy 3.15-3.26, 2 Ho 3.21
Tl7 0.9187 0.0813 0.5000  4 Ho 3.19-3.36, 2 Dy 3.25, 2 Tl 3.40

***

Computed, not measured: MnSb2Pb after structural relaxation at the PBE level of DFT.

N(E_F), states/eV per atom: 0.497
Uncorrected formation energy, eV per formula unit: 0.31
Crystal system: trigonal
Final energy, eV/atom: -5.203

a b c (Å): 7.7328 7.7328 7.7328
angles (deg): 30.80 30.80 30.80
With the nearest neighbours (Å) after each atom.
Fractional positions:
Mn1 0.0000 0.0000 0.0000  6 Sb 2.72-2.74
Sb1 0.3934 0.3934 0.3934  3 Mn 2.72
Sb2 0.6046 0.6046 0.6046  3 Mn 2.74
Pb1 0.8382 0.8382 0.8382  6 Sb 3.24-3.42, 1 Mn 3.57

***

Computed, not measured: PmB3 after structural relaxation at the PBE level of DFT.

Formation energy from the elements, meV per atom: -95.6
Energy relative to the lowest polymorph listed for this composition, meV per atom: 25
N(E_F), states/eV per atom: 0.374
Crystal system: hexagonal
Final energy, eV/atom: -6.291

a b c (Å): 5.5655 5.5655 3.4856
angles (deg): 90.00 90.00 120.00
With the nearest neighbours (Å) after each atom.
Fractional positions:
Pm1 0.3333 0.6667 0.2500  12 B 2.79-2.84
Pm2 0.6667 0.3333 0.7500  12 B 2.79-2.84
B1 0.1067 0.2134 0.7500  2 B 1.78
B2 0.1067 0.8933 0.7500  2 B 1.78
B3 0.2134 0.1067 0.2500  2 B 1.78
B4 0.7866 0.8933 0.7500  2 B 1.78
B5 0.8933 0.1067 0.2500  2 B 1.78
B6 0.8933 0.7866 0.2500  2 B 1.78

***

Computed, not measured: Y3Ga8Rh3 after structural relaxation at the PBE level of DFT.

Formation energy from the elements, meV per atom: -723.4
Energy relative to the lowest polymorph listed for this composition, meV per atom: 0
N(E_F), states/eV per atom: 0.384
Crystal system: monoclinic
Final energy, eV/atom: -5.414

a b c (Å): 8.0612 8.0612 8.9470
angles (deg): 121.73 121.73 31.39
With the nearest neighbours (Å) after each atom.
Fractional positions:
Y1 0.0000 0.0000 0.0000  8 Ga 3.14-3.16, 4 Rh 3.38
Y2 0.2910 0.2910 0.3036  9 Ga 2.97-3.19, 3 Rh 3.15-3.17
Y3 0.7090 0.7090 0.6964  9 Ga 2.97-3.19, 3 Rh 3.15-3.17
Ga1 0.1364 0.1364 0.4215  1 Rh 2.57, 4 Ga 2.65-2.87
Ga2 0.1390 0.1390 0.8441  4 Rh 2.51-2.62, 2 Ga 2.81
Ga3 0.3494 0.3494 0.7327  1 Rh 2.51, 3 Ga 2.65-2.71
Ga4 0.4946 0.4946 0.3201  3 Rh 2.60-2.68, 5 Ga 2.71-2.87
Ga5 0.5054 0.5054 0.6799  3 Rh 2.60-2.68, 5 Ga 2.71-2.87
Ga6 0.6506 0.6506 0.2673  1 Rh 2.51, 3 Ga 2.65-2.71
Ga7 0.8610 0.8610 0.1559  4 Rh 2.51-2.62, 2 Ga 2.81
Ga8 0.8636 0.8636 0.5785  1 Rh 2.57, 4 Ga 2.65-2.87
Rh1 0.0000 0.0000 0.5000  8 Ga 2.57-2.68
Rh2 0.3328 0.3328 0.9966  5 Ga 2.51-2.60
Rh3 0.6672 0.6672 0.0034  5 Ga 2.51-2.60

***

Computed, not measured: LaTaAu2 after structural relaxation at the PBE level of DFT.

Formation energy from the elements, meV per atom: -3.1
Energy relative to the lowest polymorph listed for this composition, meV per atom: 200
N(E_F), states/eV per atom: 1.260
Crystal system: cubic
Final energy, eV/atom: -5.837

a b c (Å): 5.0363 5.0363 5.0363
angles (deg): 60.00 60.00 60.00
With the nearest neighbours (Å) after each atom.
Fractional positions:
La1 0.0000 0.0000 0.0000  8 Au 3.08
Ta1 0.5000 0.5000 0.5000  8 Au 3.08
Au1 0.2500 0.2500 0.2500  4 Ta 3.08, 4 La 3.08
Au2 0.7500 0.7500 0.7500  4 Ta 3.08, 4 La 3.08

***

Computed, not measured: KPrCdBr6 after structural relaxation at the PBE level of DFT.

N(E_F), states/eV per atom: 0.000
Uncorrected formation energy, eV per formula unit: -13.60
Crystal system: trigonal
Final energy, eV/atom: -3.381

a b c (Å): 7.4281 7.4281 14.5617
angles (deg): 90.00 90.00 120.00
With the nearest neighbours (Å) after each atom.
Fractional positions:
K1 0.0000 0.0000 0.0000  6 Br 3.38
K2 0.0000 0.0000 0.5000  6 Br 3.38
Pr1 0.3333 0.6667 0.2500  6 Br 2.93
Pr2 0.6667 0.3333 0.7500  6 Br 2.93
Cd1 0.3333 0.6667 0.7500  6 Br 2.83
Cd2 0.6667 0.3333 0.2500  6 Br 2.83
Br1 0.0112 0.3750 0.6359  1 Cd 2.83, 1 Pr 2.93
Br2 0.0112 0.6362 0.8641  1 Cd 2.83, 1 Pr 2.93
Br3 0.3638 0.3750 0.8641  1 Cd 2.83, 1 Pr 2.93
Br4 0.3638 0.9888 0.6359  1 Cd 2.83, 1 Pr 2.93
Br5 0.3750 0.0112 0.1359  1 Cd 2.83, 1 Pr 2.93
Br6 0.3750 0.3638 0.3641  1 Cd 2.83, 1 Pr 2.93
Br7 0.6250 0.6362 0.6359  1 Cd 2.83, 1 Pr 2.93
Br8 0.6250 0.9888 0.8641  1 Cd 2.83, 1 Pr 2.93
Br9 0.6362 0.0112 0.3641  1 Cd 2.83, 1 Pr 2.93
Br10 0.6362 0.6250 0.1359  1 Cd 2.83, 1 Pr 2.93
Br11 0.9888 0.3638 0.1359  1 Cd 2.83, 1 Pr 2.93
Br12 0.9888 0.6250 0.3641  1 Cd 2.83, 1 Pr 2.93